(1)
4
Lattice="-1.519 1.615 7.866 1.519 -1.615 7.866 1.519 1.615 -7.866" Properties=species:S:1:pos:R:3 comment="TcP2Pb, optimized geometry, DFT PBE" spacegroup=Imm2 magmom_total_mub_per_cell=0.000 formation_energy_kj_per_mol_atoms=1 pbc="T T T"
Tc 0.000 0.000 0.000
P 1.519 0.000 1.842
P 0.000 0.000 6.829
Pb 0.000 1.615 4.190


(2)
20
Lattice="-4.295 4.295 4.295 4.295 -4.295 4.295 4.295 4.295 -4.295" Properties=species:S:1:pos:R:3 comment="Dy4GeB3Rh12, optimized geometry, DFT PBE" spacegroup=Im-3m magmom_total_mub_per_cell=0.001 formation_energy_kj_per_mol_atoms=-68 pbc="T T T"
Dy 2.147 2.147 -2.147
Dy 2.147 -2.147 2.147
Dy -2.147 2.147 2.147
Dy 2.147 2.147 2.147
Ge 0.000 0.000 0.000
B 4.295 0.000 0.000
B 0.000 4.295 0.000
B 0.000 0.000 4.295
Rh 2.308 0.000 0.000
Rh 6.281 0.000 0.000
Rh 4.295 2.147 0.000
Rh 4.295 0.000 2.147
Rh 0.000 2.308 0.000
Rh 0.000 0.000 2.308
Rh 2.147 4.295 0.000
Rh 2.147 0.000 4.295
Rh 0.000 6.281 0.000
Rh 0.000 0.000 6.281
Rh 0.000 4.295 2.147
Rh 0.000 2.147 4.295


(3)
10
Lattice="2.555 -10.185 0.000 2.555 10.185 0.000 0.000 0.000 5.115" Properties=species:S:1:pos:R:3 comment="Tb3GaHg, optimized geometry, DFT PBE" spacegroup=Cmcm magmom_total_mub_per_cell=0.404 formation_energy_kj_per_mol_atoms=-38 relative_energy_ev_per_fu=0.00 pbc="T T T"
Tb 2.555 8.901 3.837
Tb 2.555 5.105 3.837
Tb 2.555 1.323 3.837
Tb 2.555 -1.323 1.279
Tb 2.555 -5.105 1.279
Tb 2.555 -8.901 1.279
Ga 2.555 6.977 1.279
Ga 2.555 -6.977 3.837
Hg 2.555 3.181 1.279
Hg 2.555 -3.181 3.837